No. 1
Entry from the Alexandria database: a relaxed structure of Ba3SrPd2O6 (PBE).

Calculated values
Its density of states at the Fermi level is 0.174 states/eV per atom. The uncorrected formation energy is -1549 meV per atom. As for the calculated density: 5.4 g/cm³. As for the uncorrected energy: -5.51 eV per atom.

a b c (Å): 6.4254 6.4254 6.9084
angles (deg): 90.00 90.00 120.00
Space group P-3m1 (No. 164)
Symmetry-distinct sites (fractional):
Ba 0.0000 0.0000 0.0000 (multiplicity 1)
Ba 0.3333 0.6667 0.6296 (multiplicity 2)
Sr 0.0000 0.0000 0.5000 (multiplicity 1)
Pd 0.3333 0.6667 0.1578 (multiplicity 2)
O 0.1707 0.3414 0.2903 (multiplicity 6)

***

No. 2
Entry from the Alexandria database: a relaxed structure of BaSrPdO4 (PBE).

Calculated values
Its density of states at the Fermi level is 1.203 states/eV per atom. The uncorrected formation energy is -1743 meV per atom. As for the calculated density: 6.1 g/cm³. As for the uncorrected energy: -5.83 eV per atom.

a b c (Å): 4.079 4.079 12.941
angles (deg): 90.00 90.00 90.00
Space group I4mm (No. 107)
Symmetry-distinct sites (fractional):
Ba 0.000 0.000 0.000 (multiplicity 2)
Sr 0.000 0.000 0.716 (multiplicity 2)
Pd 0.000 0.000 0.357 (multiplicity 2)
O 0.000 0.000 0.198 (multiplicity 2)
O 0.000 0.000 0.517 (multiplicity 2)
O 0.000 0.500 0.344 (multiplicity 4)

***

No. 3
Entry from the Alexandria database: a relaxed structure of Ba2SrPdO4 (PBE).

Calculated values
Its density of states at the Fermi level is 0.506 states/eV per atom. The uncorrected formation energy is -1802 meV per atom. As for the calculated density: 5.8 g/cm³. As for the uncorrected energy: -5.62 eV per atom.

a b c (Å): 3.672 12.706 13.112
angles (deg): 90.00 90.00 90.00
Space group Cmcm (No. 63)
Symmetry-distinct sites (fractional):
Ba 0.000 0.131 0.050 (multiplicity 8)
Sr 0.000 0.385 0.250 (multiplicity 4)
Pd 0.000 0.343 0.750 (multiplicity 4)
O 0.000 0.051 0.250 (multiplicity 4)
O 0.000 0.216 0.641 (multiplicity 8)
O 0.000 0.500 0.000 (multiplicity 4)

***

No. 4
Entry from the Alexandria database: a relaxed structure of BaSrPdO3 (PBE).

Calculated values
Its density of states at the Fermi level is 0.057 states/eV per atom. The uncorrected formation energy is -1983 meV per atom. As for the calculated density: 6.2 g/cm³. As for the uncorrected energy: -5.93 eV per atom.

a b c (Å): 13.730 4.070 7.548
angles (deg): 90.00 105.93 90.00
Space group C2/m (No. 12)
Symmetry-distinct sites (fractional):
Ba 0.145 0.000 0.075 (multiplicity 4)
Sr 0.147 0.000 0.571 (multiplicity 4)
Pd 0.001 0.500 0.255 (multiplicity 4)
O 0.001 0.000 0.715 (multiplicity 4)
O 0.157 0.500 0.819 (multiplicity 4)
O 0.159 0.500 0.339 (multiplicity 4)

***

No. 5
Entry from the Alexandria database: a relaxed structure of Ba2SrPdO5 (PBE).

Calculated values
Its density of states at the Fermi level is 0.609 states/eV per atom. The uncorrected formation energy is -1853 meV per atom. As for the calculated density: 6.0 g/cm³. As for the uncorrected energy: -5.80 eV per atom.

a b c (Å): 4.006 6.073 12.564
angles (deg): 90.00 90.00 90.00
Space group Immm (No. 71)
Symmetry-distinct sites (fractional):
Ba 0.000 0.000 0.210 (multiplicity 4)
Sr 0.000 0.500 0.000 (multiplicity 2)
Pd 0.000 0.500 0.500 (multiplicity 2)
O 0.000 0.000 0.000 (multiplicity 2)
O 0.000 0.255 0.383 (multiplicity 8)

***

No. 6
Entry from the Alexandria database: a relaxed structure of BaSrPd2O (PBE).

Calculated values
Its density of states at the Fermi level is 0.304 states/eV per atom. The uncorrected formation energy is 816 meV per atom. As for the calculated density: 3.0 g/cm³. As for the uncorrected energy: -2.97 eV per atom.

a b c (Å): 5.135 5.135 9.603
angles (deg): 90.00 90.00 90.00
Space group P4/mmm (No. 123)
Symmetry-distinct sites (fractional):
Ba 0.000 0.000 0.000 (multiplicity 1)
Sr 0.000 0.000 0.500 (multiplicity 1)
Pd 0.000 0.500 0.000 (multiplicity 2)
O 0.500 0.500 0.500 (multiplicity 1)

***

No. 7
Entry from the Alexandria database: a relaxed structure of BaSr2PdO (PBE).

Calculated values
Its density of states at the Fermi level is 0.720 states/eV per atom. The uncorrected formation energy is -1183 meV per atom. As for the calculated density: 5.1 g/cm³. As for the uncorrected energy: -4.27 eV per atom.

a b c (Å): 5.012 5.012 5.647
angles (deg): 90.00 90.00 90.00
Space group P4/mmm (No. 123)
Symmetry-distinct sites (fractional):
Ba 0.000 0.000 0.000 (multiplicity 1)
Sr 0.000 0.500 0.500 (multiplicity 2)
Pd 0.500 0.500 0.000 (multiplicity 1)
O 0.000 0.000 0.500 (multiplicity 1)

***

No. 8
Entry from the Alexandria database: a relaxed structure of Ba2SrPdO (PBE).

Calculated values
Its density of states at the Fermi level is 0.454 states/eV per atom. The uncorrected formation energy is -1130 meV per atom. As for the calculated density: 5.3 g/cm³. As for the uncorrected energy: -4.27 eV per atom.

a b c (Å): 5.505 5.505 5.000
angles (deg): 90.00 90.00 90.00
Space group P4/mmm (No. 123)
Symmetry-distinct sites (fractional):
Ba 0.000 0.500 0.000 (multiplicity 2)
Sr 0.000 0.000 0.500 (multiplicity 1)
Pd 0.500 0.500 0.500 (multiplicity 1)
O 0.000 0.000 0.000 (multiplicity 1)

***

No. 9
Entry from the Alexandria database: a relaxed structure of BaTa2PdO8 (PBE).

Calculated values
Its density of states at the Fermi level is 0.000 states/eV per atom. The uncorrected formation energy is -2168 meV per atom. As for the calculated density: 5.9 g/cm³. As for the uncorrected energy: -8.04 eV per atom.

a b c (Å): 9.082 5.916 7.715
angles (deg): 90.00 91.53 90.00
Space group C2/m (No. 12)
Symmetry-distinct sites (fractional):
Ba 0.000 0.000 0.000 (multiplicity 2)
Ta 0.135 0.500 0.307 (multiplicity 4)
Pd 0.000 0.000 0.500 (multiplicity 2)
O 0.012 0.238 0.313 (multiplicity 8)
O 0.205 0.500 0.090 (multiplicity 4)
O 0.218 0.000 0.521 (multiplicity 4)

***

No. 10
Entry from the Alexandria database: a relaxed structure of Ba3TbPd2O6 (PBE).

Calculated values
Its density of states at the Fermi level is 0.626 states/eV per atom. The uncorrected formation energy is -1816 meV per atom. As for the calculated density: 6.5 g/cm³. As for the uncorrected energy: -6.03 eV per atom.

a b c (Å): 6.1480 6.1480 6.8901
angles (deg): 90.00 90.00 120.00
Space group P-3m1 (No. 164)
Symmetry-distinct sites (fractional):
Ba 0.0000 0.0000 0.0000 (multiplicity 1)
Ba 0.3333 0.6667 0.6382 (multiplicity 2)
Tb 0.0000 0.0000 0.5000 (multiplicity 1)
Pd 0.3333 0.6667 0.1446 (multiplicity 2)
O 0.1676 0.3352 0.3071 (multiplicity 6)

***

No. 11
Entry from the Alexandria database: a relaxed structure of BaTb2PdO5 (PBE).

Calculated values
Its density of states at the Fermi level is 0.000 states/eV per atom. The uncorrected formation energy is -2666 meV per atom. As for the calculated density: 8.2 g/cm³. As for the uncorrected energy: -7.24 eV per atom. The value obtained for the energy above the most stable polymorph in this dataset is 0 meV/atom.

a b c (Å): 6.610 6.610 5.932
angles (deg): 90.00 90.00 90.00
Space group P4/mbm (No. 127)
Symmetry-distinct sites (fractional):
Ba 0.000 0.000 0.000 (multiplicity 2)
Tb 0.174 0.326 0.500 (multiplicity 4)
Pd 0.000 0.500 0.000 (multiplicity 2)
O 0.000 0.000 0.500 (multiplicity 2)
O 0.141 0.641 0.259 (multiplicity 8)

***

No. 12
Entry from the Alexandria database: a relaxed structure of BaTb2PdO5 (PBE).

Calculated values
The uncorrected formation energy is -2475 meV per atom. As for the calculated density: 8.0 g/cm³. As for the uncorrected energy: -7.05 eV per atom. The value obtained for the energy above the most stable polymorph in this dataset is 191 meV/atom.

a b c (Å): 6.589 6.589 12.264
angles (deg): 90.00 90.00 90.00
Space group I4/mcm (No. 140)
Symmetry-distinct sites (fractional):
Ba 0.000 0.000 0.250 (multiplicity 4)
Tb 0.172 0.328 0.000 (multiplicity 8)
Pd 0.000 0.500 0.250 (multiplicity 4)
O 0.000 0.000 0.000 (multiplicity 4)
O 0.141 0.359 0.384 (multiplicity 16)

***

No. 13
Entry from the Alexandria database: a relaxed structure of Ba2TbPdO5 (PBE).

Calculated values
Its density of states at the Fermi level is 0.288 states/eV per atom. The uncorrected formation energy is -2148 meV per atom. As for the calculated density: 6.8 g/cm³. As for the uncorrected energy: -6.42 eV per atom.

a b c (Å): 3.580 14.052 11.988
angles (deg): 90.00 90.00 90.00
Space group Cmc2_1 (No. 36)
Symmetry-distinct sites (fractional):
Ba 0.000 0.096 0.000 (multiplicity 4)
Ba 0.000 0.149 0.620 (multiplicity 4)
Tb 0.000 0.207 0.335 (multiplicity 4)
Pd 0.000 0.479 0.763 (multiplicity 4)
O 0.000 0.049 0.365 (multiplicity 4)
O 0.000 0.277 0.955 (multiplicity 4)
O 0.000 0.333 0.711 (multiplicity 4)
O 0.000 0.372 0.303 (multiplicity 4)
O 0.000 0.484 0.097 (multiplicity 4)

***

No. 14
Entry from the Alexandria database: a relaxed structure of Ba3TbPd2O9 (PBE).

Calculated values
Its density of states at the Fermi level is 1.028 states/eV per atom. The uncorrected formation energy is -1832 meV per atom. As for the calculated density: 7.0 g/cm³. As for the uncorrected energy: -6.19 eV per atom.

a b c (Å): 5.9030 5.9030 7.3061
angles (deg): 90.00 90.00 120.00
Space group P-3m1 (No. 164)
Symmetry-distinct sites (fractional):
Ba 0.0000 0.0000 0.0000 (multiplicity 1)
Ba 0.3333 0.6667 0.6854 (multiplicity 2)
Tb 0.0000 0.0000 0.5000 (multiplicity 1)
Pd 0.3333 0.6667 0.1642 (multiplicity 2)
O 0.0000 0.5000 0.0000 (multiplicity 3)
O 0.1750 0.3500 0.3207 (multiplicity 6)

***

No. 15
Entry from the Alexandria database: a relaxed structure of Ba2TcPdO (PBE).

Calculated values
Its density of states at the Fermi level is 0.676 states/eV per atom. The uncorrected formation energy is 426 meV per atom. As for the calculated density: 4.6 g/cm³. As for the uncorrected energy: -4.45 eV per atom.

a b c (Å): 6.064 6.064 4.873
angles (deg): 90.00 90.00 90.00
Space group P4/mmm (No. 123)
Symmetry-distinct sites (fractional):
Ba 0.000 0.500 0.000 (multiplicity 2)
Tc 0.000 0.000 0.500 (multiplicity 1)
Pd 0.000 0.000 0.000 (multiplicity 1)
O 0.500 0.500 0.500 (multiplicity 1)

***

No. 16
Entry from the Alexandria database: a relaxed structure of BaTc2PdO8 (PBE).

Calculated values
The uncorrected formation energy is -1486 meV per atom. As for the calculated density: 4.2 g/cm³. As for the uncorrected energy: -7.11 eV per atom.

a b c (Å): 5.8487 5.8487 7.5290
angles (deg): 90.00 90.00 120.00
Space group P-3 (No. 147)
Symmetry-distinct sites (fractional):
Ba 0.0000 0.0000 0.0000 (multiplicity 1)
Tc 0.3333 0.6667 0.7725 (multiplicity 2)
Pd 0.0000 0.0000 0.5000 (multiplicity 1)
O 0.1494 0.3322 0.7034 (multiplicity 6)
O 0.3333 0.6667 0.0069 (multiplicity 2)

***

No. 17
Entry from the Alexandria database: a relaxed structure of Ba3Te2PdO9 (PBE).

Calculated values
Its density of states at the Fermi level is 0.173 states/eV per atom. The uncorrected formation energy is -1724 meV per atom. As for the calculated density: 6.7 g/cm³. As for the uncorrected energy: -5.85 eV per atom.

a b c (Å): 5.9837 5.9837 7.3683
angles (deg): 90.00 90.00 120.00
Space group P-3m1 (No. 164)
Symmetry-distinct sites (fractional):
Ba 0.0000 0.0000 0.0000 (multiplicity 1)
Ba 0.3333 0.6667 0.6604 (multiplicity 2)
Te 0.3333 0.6667 0.1735 (multiplicity 2)
Pd 0.0000 0.0000 0.5000 (multiplicity 1)
O 0.0000 0.5000 0.0000 (multiplicity 3)
O 0.1733 0.3466 0.3220 (multiplicity 6)

***

No. 18
Entry from the Alexandria database: a relaxed structure of BaTe2PdO8 (PBE).

Calculated values
Its density of states at the Fermi level is 0.288 states/eV per atom. The uncorrected formation energy is -1010 meV per atom. As for the calculated density: 5.6 g/cm³. As for the uncorrected energy: -5.43 eV per atom.

a b c (Å): 5.4238 5.4238 21.7749
angles (deg): 90.00 90.00 120.00
Space group R-3 (No. 148, hexagonal axes)
Symmetry-distinct sites (fractional):
Ba 0.0000 0.0000 0.0000 (multiplicity 3)
Te 0.0000 0.0000 0.2208 (multiplicity 6)
Pd 0.0000 0.0000 0.5000 (multiplicity 3)
O 0.0000 0.0000 0.3057 (multiplicity 6)
O 0.0103 0.3783 0.2188 (multiplicity 18)

***

No. 19
Entry from the Alexandria database: a relaxed structure of BaTePdO4 (PBE).

Calculated values
Its density of states at the Fermi level is 0.680 states/eV per atom. The uncorrected formation energy is -753 meV per atom. As for the calculated density: 3.6 g/cm³. As for the uncorrected energy: -5.05 eV per atom.

a b c (Å): 9.273 9.273 9.273
angles (deg): 90.00 90.00 90.00
Space group F-43m (No. 216)
Symmetry-distinct sites (fractional):
Ba 0.000 0.000 0.000 (multiplicity 4)
Te 0.000 0.000 0.500 (multiplicity 4)
Pd 0.250 0.250 0.750 (multiplicity 4)
O 0.119 0.119 0.619 (multiplicity 16)

***

No. 20
Entry from the Alexandria database: a relaxed structure of Ba3ThPd2O9 (PBE).

Calculated values
Its density of states at the Fermi level is 0.304 states/eV per atom. The uncorrected formation energy is -2005 meV per atom. As for the calculated density: 7.3 g/cm³. As for the uncorrected energy: -6.55 eV per atom.

a b c (Å): 5.9459 5.9459 7.4719
angles (deg): 90.00 90.00 120.00
Space group P-3m1 (No. 164)
Symmetry-distinct sites (fractional):
Ba 0.0000 0.0000 0.0000 (multiplicity 1)
Ba 0.3333 0.6667 0.7078 (multiplicity 2)
Th 0.0000 0.0000 0.5000 (multiplicity 1)
Pd 0.3333 0.6667 0.1634 (multiplicity 2)
O 0.0000 0.5000 0.0000 (multiplicity 3)
O 0.1743 0.3487 0.3193 (multiplicity 6)